Compound: Mg4Ag15Hg
Source: Alexandria via LeMat-Bulk
Functional: PBE
Structure: optimized geometry

Geometry as extended XYZ:
```
20
Lattice="4.114 0.000 0.000 0.000 4.114 0.000 0.000 0.000 21.464" Properties=species:S:1:pos:R:3 pbc="T T T"
Ag 2.057 0.000 2.230
Mg 0.000 0.000 12.859
Ag 2.057 2.057 4.338
Ag 2.057 0.000 14.997
Ag 2.057 0.000 6.467
Hg 0.000 0.000 0.000
Ag 2.057 2.057 12.863
Ag 0.000 2.057 10.732
Ag 2.057 0.000 10.732
Ag 0.000 2.057 19.234
Ag 2.057 2.057 8.601
Ag 2.057 0.000 19.234
Ag 0.000 2.057 6.467
Ag 0.000 2.057 14.997
Ag 2.057 2.057 0.000
Ag 2.057 2.057 17.126
Mg 0.000 0.000 4.339
Ag 0.000 2.057 2.230
Mg 0.000 0.000 8.605
Mg 0.000 0.000 17.125
```

Calculated values
E_form	-10.80	kJ per mole of atoms
crystal system	tetragonal
calculated volume	18.2	Å³/atom

Compound: Cs2ZnCdF6
Source: Alexandria via LeMat-Bulk
Functional: PBE
Structure: optimized geometry

Geometry as extended XYZ:
```
10
Lattice="6.242 0.000 0.000 0.000 6.242 0.000 3.121 3.121 4.415" Properties=species:S:1:pos:R:3 pbc="T T T"
Cd 0.000 0.000 0.000
F 4.612 4.612 0.000
F 4.612 1.629 0.000
Cs 3.121 6.242 2.208
F 1.629 1.629 0.000
F 3.121 3.121 2.111
F 1.629 4.612 0.000
Cs 6.242 3.121 2.208
Zn 3.121 3.121 0.000
F 6.242 6.242 2.304
```

Calculated values
energy above the most stable polymorph in this dataset	0	meV/atom
energy relative to the elements, uncorrected	-2484	meV per atom
crystal system	cubic
calculated volume	17.2	Å³/atom

Compound: Tc3Hg
Source: Alexandria via LeMat-Bulk
Functional: PBE
Structure: optimized geometry

Geometry as extended XYZ:
```
16
Lattice="5.668 0.000 0.000 -2.834 4.909 0.000 0.000 0.000 9.135" Properties=species:S:1:pos:R:3 pbc="T T T"
Tc 4.130 0.888 2.284
Tc 1.296 4.020 6.851
Tc 1.538 0.888 2.284
Hg 0.000 0.000 0.000
Tc 0.000 1.776 6.851
Hg 2.834 1.636 6.851
Hg 0.000 0.000 4.567
Tc -1.296 4.020 6.851
Tc -1.417 2.454 4.567
Tc 1.417 2.454 0.000
Tc -1.417 2.454 0.000
Hg 0.000 3.272 2.284
Tc 2.834 3.132 2.284
Tc 2.834 0.000 4.567
Tc 1.417 2.454 4.567
Tc 2.834 0.000 0.000
```

Calculated values
energy above the most stable polymorph in this dataset	222	meV/atom
E_form	50.05	kJ per mole of atoms
crystal system	hexagonal
calculated volume	15.9	Å³/atom

Compound: BeTlIr2Pb
Source: Alexandria via LeMat-Bulk
Functional: PBE
Structure: optimized geometry

Geometry as extended XYZ:
```
5
Lattice="4.433 0.000 0.000 0.000 4.742 0.000 0.000 0.000 4.433" Properties=species:S:1:pos:R:3 pbc="T T T"
Ir 0.000 0.000 2.216
Pb 0.000 2.371 0.000
Be 0.000 0.000 0.000
Ir 2.216 0.000 0.000
Tl 2.216 2.371 2.216
```

Calculated values
E_form	59.68	kJ per mole of atoms
crystal system	tetragonal
calculated volume	18.6	Å³/atom

Compound: CaBeP2Pb
Source: Alexandria via LeMat-Bulk
Functional: PBE
Structure: optimized geometry

Geometry as extended XYZ:
```
5
Lattice="-4.663 2.189 -0.261 -0.134 -0.984 -5.852 -2.201 -4.592 0.823" Properties=species:S:1:pos:R:3 pbc="T T T"
P -1.101 -2.296 0.411
Pb -0.067 -0.492 -2.926
Be -3.499 -1.694 -2.645
Ca 0.000 0.000 0.000
P -2.332 1.094 -0.131
```

Calculated values
E_form	126.03	kJ per mole of atoms
crystal system	tetragonal
calculated volume	31.6	Å³/atom

Compound: Ac3GaBi
Source: Alexandria via LeMat-Bulk
Functional: PBE
Structure: optimized geometry

Geometry as extended XYZ:
```
5
Lattice="5.974 0.000 0.000 0.000 5.974 0.000 0.000 0.000 5.974" Properties=species:S:1:pos:R:3 pbc="T T T"
Ac 0.000 2.987 0.000
Bi 2.987 2.987 2.987
Ac 2.987 0.000 0.000
Ga 0.000 0.000 0.000
Ac 0.000 0.000 2.987
```

Calculated values
E_form	-21.17	kJ per mole of atoms
crystal system	cubic
calculated volume	42.6	Å³/atom

Compound: Sr2LiZnSi2
Source: Alexandria via LeMat-Bulk
Functional: PBE
Structure: optimized geometry

Geometry as extended XYZ:
```
12
Lattice="6.316 0.000 0.000 0.000 6.336 0.000 -3.158 -3.168 7.116" Properties=species:S:1:pos:R:3 pbc="T T T"
Sr 1.548 0.000 2.280
Si -1.502 3.168 5.686
Sr -1.610 0.000 4.837
Si 1.656 3.168 1.431
Si 4.660 0.000 1.431
Zn 3.158 4.752 0.000
Sr 4.768 3.168 2.280
Li 0.000 1.584 0.000
Si 1.502 0.000 5.686
Sr 1.610 3.168 4.837
Zn 3.158 1.584 0.000
Li 0.000 4.752 0.000
```

Calculated values
energy relative to the elements, uncorrected	-359	meV per atom
crystal system	orthorhombic
calculated volume	23.7	Å³/atom

Compound: BaHo2InO5
Source: Alexandria via LeMat-Bulk
Functional: PBE
Structure: optimized geometry

Geometry as extended XYZ:
```
9
Lattice="-3.300 1.931 1.330 1.244 -1.674 5.518 4.178 4.729 -2.660" Properties=species:S:1:pos:R:3 pbc="T T T"
O 0.261 1.168 5.113
O 1.861 3.818 -0.925
In -1.650 0.965 0.665
Ho 0.760 2.885 3.857
O 2.517 2.934 1.987
O -0.396 2.051 2.201
O 0.000 0.000 0.000
Ho 1.362 2.100 0.330
Ba 0.622 -0.837 2.759
```

Calculated values
energy relative to the elements, uncorrected	-2565	meV per atom
crystal system	orthorhombic
calculated volume	15.5	Å³/atom

Compound: Cr4Re
Source: Alexandria via LeMat-Bulk
Functional: PBE
Structure: optimized geometry

Geometry as extended XYZ:
```
5
Lattice="-1.005 -2.346 -0.017 1.382 -0.568 -3.819 4.711 -1.134 4.065" Properties=species:S:1:pos:R:3 pbc="T T T"
Cr 1.818 -0.772 -0.333
Cr 3.270 -3.276 0.562
Cr 0.832 -2.203 -2.677
Cr 4.256 -1.845 2.907
Re 3.235 -2.308 -1.795
```

Calculated values
energy above the most stable polymorph in this dataset	20	meV/atom
E_form	2.29	kJ per mole of atoms
crystal system	triclinic
calculated volume	12.4	Å³/atom

Compound: CeSbRh6
Source: Alexandria via LeMat-Bulk
Functional: PBE
Structure: optimized geometry

Geometry as extended XYZ:
```
8
Lattice="4.042 0.000 0.000 0.000 5.656 -0.033 0.000 0.038 5.656" Properties=species:S:1:pos:R:3 pbc="T T T"
Rh 0.000 4.248 4.194
Sb 2.021 2.847 2.811
Rh 0.000 4.228 1.413
Rh 0.000 1.467 4.210
Rh 2.021 0.019 2.828
Rh 0.000 1.447 1.428
Rh 2.021 2.828 -0.017
Ce 2.021 0.000 0.000
```

Calculated values
energy relative to the elements, uncorrected	-433	meV per atom
crystal system	orthorhombic
calculated volume	16.2	Å³/atom

Compound: Pa2Rh13
Source: Alexandria via LeMat-Bulk
Functional: PBE
Structure: optimized geometry

Geometry as extended XYZ:
```
15
Lattice="-2.525 0.131 -6.473 -1.929 -5.914 -3.097 -7.858 -1.158 -0.688" Properties=species:S:1:pos:R:3 pbc="T T T"
Rh -5.196 -1.046 -5.455
Rh -6.409 -4.764 -7.402
Rh -7.116 -5.895 -4.804
Rh -4.258 -5.284 -5.906
Pa -9.223 -5.207 -7.698
Rh -7.491 -2.094 -6.926
Rh -4.821 -4.847 -3.332
Rh -3.501 -2.965 -4.692
Rh -6.156 -3.470 -5.129
Rh -5.903 -2.176 -2.856
Pa -3.089 -1.734 -2.560
Rh -7.821 -4.028 -3.028
Rh -4.491 -2.913 -7.230
Rh -8.054 -1.657 -4.352
Rh -8.811 -3.976 -5.567
```

Calculated values
E_form	12.04	kJ per mole of atoms
crystal system	trigonal
calculated volume	19.2	Å³/atom

| no. | uncorrected energy (eV/atom) | total magnetization (Bohr magnetons per cell) |
| --- | --- | --- |
| 1 | -2.58 | 0.00 |
| 2 | -4.00 | 0.00 |
| 3 | -7.33 | 0.00 |
| 4 | -4.89 | 0.00 |
| 5 | -2.74 | 0.25 |
| 6 | -4.07 | 0.00 |
| 7 | -3.26 | 0.00 |
| 8 | -6.86 | 0.15 |
| 9 | -10.16 | 0.00 |
| 10 | -7.20 | 0.00 |
| 11 | -7.51 | 0.00 |